(1)
Computed, not measured: crystalline Ba3SrSc at its relaxed geometry at the PBE level of DFT.

a = 6.614 Å, b = 6.614 Å, c = 6.614 Å
α = 90.00°, β = 90.00°, γ = 90.00°
Element x y z (fractional)
1 Sc 0.500 0.500 0.500
2 Sr 0.000 0.000 0.000
3 Ba 0.000 0.500 0.000
4 Ba 0.000 0.000 0.500
5 Ba 0.500 0.000 0.000

## Properties
SG ... No. 221
M_tot ... 1.23 μB per cell
ρ ... 3.1 g/cm3
Raw total energy ... -9.0 eV for the cell shown
Crystal system ... cubic

(2)
Computed, not measured: crystalline SmErMgZn at its relaxed geometry at the PBE level of DFT.

a = 5.218 Å, b = 5.218 Å, c = 5.218 Å
α = 60.00°, β = 60.00°, γ = 60.00°
Element x y z (fractional)
1 Zn 0.750 0.750 0.750
2 Mg 0.250 0.250 0.250
3 Sm 0.000 0.000 0.000
4 Er 0.500 0.500 0.500

## Properties
SG ... No. 216
M_tot ... 0.00 μB per cell
ρ ... 6.7 g/cm3
Raw total energy ... -12.8 eV for the cell shown
Crystal system ... cubic

(3)
Computed, not measured: crystalline BiTeRh2 at its relaxed geometry at the PBE level of DFT.

a = 5.704 Å, b = 7.144 Å, c = 8.220 Å
α = 90.00°, β = 89.99°, γ = 90.00°
Element x y z (fractional)
1 Bi 0.250 0.411 0.122
2 Bi 0.250 0.911 0.878
3 Bi 0.750 0.089 0.122
4 Bi 0.750 0.589 0.878
5 Te 0.750 0.077 0.626
6 Te 0.250 0.423 0.626
7 Te 0.250 0.923 0.374
8 Te 0.750 0.577 0.374
9 Rh 0.500 0.749 0.141
10 Rh 0.000 0.751 0.141
11 Rh 0.000 0.250 0.387
12 Rh 0.000 0.249 0.859
13 Rh 0.000 0.750 0.613
14 Rh 0.500 0.750 0.613
15 Rh 0.500 0.251 0.859
16 Rh 0.500 0.250 0.387

## Properties
Formation energy without anion corrections ... -100 kJ/mol of formula units
SG ... No. 14
M_tot ... 0.00 μB per cell
ρ ... 10.8 g/cm3
Crystal system ... monoclinic

(4)
Computed, not measured: crystalline CoTeBr at its relaxed geometry at the PBE level of DFT.

a = 3.642 Å, b = 3.642 Å, c = 7.104 Å
α = 75.15°, β = 75.15°, γ = 60.00°
Element x y z (fractional)
1 Te 0.738 0.738 0.786
2 Co 0.005 0.005 0.986
3 Br 0.268 0.268 0.196

## Properties
Formation energy without anion corrections ... -68 kJ/mol of formula units
SG ... No. 160
M_tot ... 0.00 μB per cell
ρ ... 5.7 g/cm3
Crystal system ... trigonal

(5)
Computed, not measured: crystalline LiInHg2 at its relaxed geometry at the PBE level of DFT.

a = 5.095 Å, b = 5.095 Å, c = 5.877 Å
α = 80.61°, β = 80.61°, γ = 37.71°
Element x y z (fractional)
1 Li 0.750 0.750 0.750
2 Hg 0.013 0.013 0.976
3 Hg 0.487 0.487 0.524
4 In 0.250 0.250 0.250

## Properties
SG ... No. 12
M_tot ... 0.00 μB per cell
ρ ... 9.4 g/cm3
Raw total energy ... -5.9 eV for the cell shown
Crystal system ... monoclinic

(6)
Computed, not measured: crystalline ZrZn2Te at its relaxed geometry at the PBE level of DFT.

a = 4.891 Å, b = 4.891 Å, c = 4.891 Å
α = 60.00°, β = 60.00°, γ = 60.00°
Element x y z (fractional)
1 Te 0.500 0.500 0.500
2 Zn 0.000 0.000 0.000
3 Zn 0.250 0.250 0.250
4 Zr 0.750 0.750 0.750

## Properties
Formation energy without anion corrections ... 7 kJ/mol of formula units
SG ... No. 216
M_tot ... 0.00 μB per cell
ρ ... 7.0 g/cm3
Crystal system ... cubic

(7)
Computed, not measured: crystalline Cd3Ag7Sb at its relaxed geometry at the PBE level of DFT.

a = 5.309 Å, b = 7.396 Å, c = 7.396 Å
α = 84.21°, β = 115.25°, γ = 115.25°
Element x y z (fractional)
1 Cd 0.000 0.796 0.204
2 Cd 0.500 0.000 0.000
3 Cd 0.000 0.204 0.796
4 Ag 0.386 0.217 0.217
5 Ag 0.329 0.066 0.583
6 Ag 0.671 0.417 0.934
7 Ag 0.329 0.583 0.066
8 Ag 0.000 0.500 0.500
9 Ag 0.671 0.934 0.417
10 Ag 0.614 0.783 0.783
11 Sb 0.500 0.500 0.500

## Properties
Formation energy without anion corrections ... 113 kJ/mol of formula units
SG ... No. 12
M_tot ... 0.00 μB per cell
ρ ... 8.5 g/cm3
Crystal system ... monoclinic

(8)
Computed, not measured: crystalline Rb4PuAg3Br12 at its relaxed geometry at the PBE level of DFT.

a = 9.675 Å, b = 9.675 Å, c = 9.675 Å
α = 109.47°, β = 109.47°, γ = 109.47°
Element x y z (fractional)
1 Rb 0.500 0.500 0.500
2 Rb 0.000 0.000 0.500
3 Rb 0.500 0.000 0.000
4 Rb 0.000 0.500 0.000
5 Pu 0.000 0.000 0.000
6 Ag 0.500 0.000 0.500
7 Ag 0.500 0.500 0.000
8 Ag 0.000 0.500 0.500
9 Br 0.250 0.500 0.750
10 Br 0.755 0.000 0.755
11 Br 0.245 0.000 0.245
12 Br 0.750 0.500 0.250
13 Br 0.755 0.755 0.000
14 Br 0.245 0.245 0.000
15 Br 0.750 0.250 0.500
16 Br 0.250 0.750 0.500
17 Br 0.500 0.250 0.750
18 Br 0.000 0.755 0.755
19 Br 0.500 0.750 0.250
20 Br 0.000 0.245 0.245

## Properties
Formation energy without anion corrections ... -2189 kJ/mol of formula units
SG ... No. 229
M_tot ... 3.98 μB per cell
ρ ... 4.5 g/cm3
Crystal system ... cubic